The following is a DFT calculation (PBE) of Dy3Sc4Ir4 after structural relaxation.

Computed properties:
Its space group is Immm. The calculated formation energy is -769.2 meV/atom.

abc: 3.858 8.264 8.715
angles: 118.30 102.79 90.00
Fractional positions:
1 Dy 0.107 0.107 0.214
2 Dy 0.893 0.893 0.786
3 Dy 0.000 0.500 0.000
4 Sc 0.331 0.141 0.663
5 Sc 0.669 0.478 0.337
6 Sc 0.669 0.859 0.337
7 Sc 0.331 0.522 0.663
8 Ir 0.236 0.736 0.472
9 Ir 0.764 0.264 0.528
10 Ir 0.500 0.794 0.000
11 Ir 0.500 0.206 0.000

The following is a DFT calculation (PBE) of ZrNb3Sb after structural relaxation.

Computed properties:
Its uncorrected energy is -35.67 eV/f.u. Its space group is Pm-3m.

abc: 4.948 4.948 4.948
angles: 90.00 90.00 90.00
Fractional positions:
1 Sb 0.500 0.500 0.500
2 Nb 0.000 0.500 0.000
3 Nb 0.000 0.000 0.500
4 Nb 0.500 0.000 0.000
5 Zr 0.000 0.000 0.000

The following is a DFT calculation (PBE) of Sc2GaOsC after structural relaxation.

Computed properties:
Its space group is P4/mmm. The calculated formation energy is -507.3 meV/atom.

abc: 4.532 4.532 3.913
angles: 90.00 90.00 90.00
Fractional positions:
1 Sc 0.000 0.500 0.000
2 Sc 0.500 0.000 0.000
3 C 0.000 0.000 0.000
4 Os 0.000 0.000 0.500
5 Ga 0.500 0.500 0.500